1.
# Be2RuSe (GGA-PBEsol, relaxed)
# * total magnetic moment: 0.00 μB per formula unit
# * E: -0.198 Ha/atom
# * calculated volume: 46.5 Å³ per cell
# * E_form (uncorrected): 104 meV per atom
data_Be2RuSe
_chemical_formula_sum 'Be2 Ru1 Se1'
_cell_length_a 3.1047
_cell_length_b 3.8714
_cell_length_c 3.8714
_cell_angle_alpha 90.00
_cell_angle_beta 90.00
_cell_angle_gamma 90.00
_space_group_name_H-M_alt 'P 1'
_space_group_IT_number 1
loop_
_space_group_symop_operation_xyz
'x,y,z'
loop_
_atom_site_label
_atom_site_type_symbol
_atom_site_fract_x
_atom_site_fract_y
_atom_site_fract_z
Be1 Be 0.0000 0.5000 0.0000
Be2 Be 0.0000 0.0000 0.5000
Se1 Se 0.5000 0.0000 0.0000
Ru1 Ru 0.5000 0.5000 0.5000

***

2.
# BeRu2Se (GGA-PBEsol, relaxed)
# * total magnetic moment: 0.00 μB per formula unit
# * E: -0.247 Ha/atom
# * calculated volume: 51.4 Å³ per cell
# * E_form (uncorrected): 330 meV per atom
# * offset from the most stable computed form: 209 meV/atom
data_BeRu2Se
_chemical_formula_sum 'Be1 Ru2 Se1'
_cell_length_a 3.4885
_cell_length_b 3.4885
_cell_length_c 4.8898
_cell_angle_alpha 110.90
_cell_angle_beta 110.90
_cell_angle_gamma 90.00
_space_group_name_H-M_alt 'P 1'
_space_group_IT_number 1
loop_
_space_group_symop_operation_xyz
'x,y,z'
loop_
_atom_site_label
_atom_site_type_symbol
_atom_site_fract_x
_atom_site_fract_y
_atom_site_fract_z
Ru1 Ru 0.7500 0.2500 0.5000
Ru2 Ru 0.0000 0.0000 0.0000
Se1 Se 0.5000 0.5000 0.0000
Be1 Be 0.2500 0.7500 0.5000